No. 1
Computed, not measured: a relaxed structure of EuZrCdIn at the GGA-PBE level of DFT.

a = 5.254 Å, b = 5.254 Å, c = 5.254 Å
α = 60.00°, β = 60.00°, γ = 60.00°
Positions (direct):
Eu1 0.500 0.500 0.500
Cd1 0.750 0.750 0.750
Zr1 0.000 0.000 0.000
In1 0.250 0.250 0.250

Output
Space group: No. 216
Size of the total moment in μB/f.u.: 8.0
ΔE_f in eV/atom: -0.148

=====

No. 2
Computed, not measured: a relaxed structure of CsMg16Al12 at the GGA-PBE level of DFT.

a = 9.260 Å, b = 9.260 Å, c = 9.260 Å
α = 109.47°, β = 109.47°, γ = 109.47°
Positions (direct):
Cs1 0.000 0.000 0.000
Mg1 0.401 0.719 0.401
Mg2 0.281 0.682 0.682
Mg3 0.682 0.682 0.281
Mg4 0.635 0.635 0.635
Mg5 0.000 0.599 0.318
Mg6 0.318 0.599 0.000
Mg7 0.401 0.401 0.719
Mg8 0.719 0.401 0.401
Mg9 0.000 0.365 0.000
Mg10 0.599 0.318 0.000
Mg11 0.000 0.318 0.599
Mg12 0.682 0.281 0.682
Mg13 0.318 0.000 0.599
Mg14 0.000 0.000 0.365
Mg15 0.365 0.000 0.000
Mg16 0.599 0.000 0.318
Al1 0.189 0.810 0.189
Al2 0.000 0.811 0.621
Al3 0.621 0.811 0.000
Al4 0.000 0.621 0.811
Al5 0.811 0.621 0.000
Al6 0.190 0.379 0.379
Al7 0.379 0.379 0.190
Al8 0.189 0.189 0.810
Al9 0.810 0.189 0.189
Al10 0.379 0.190 0.379
Al11 0.621 0.000 0.811
Al12 0.811 0.000 0.621

Output
Space group: No. 217
Size of the total moment in μB/f.u.: 0.0
ΔE_f in eV/atom: 0.048

=====

No. 3
Computed, not measured: a relaxed structure of Ga2ReSi at the GGA-PBE level of DFT.

a = 9.525 Å, b = 9.525 Å, c = 7.127 Å
α = 48.07°, β = 48.07°, γ = 90.00°
Positions (direct):
Re1 0.000 0.000 0.000
Re2 0.750 0.250 0.500
Si1 0.500 0.500 0.000
Si2 0.250 0.750 0.500
Ga1 0.874 0.125 0.250
Ga2 0.876 0.625 0.250
Ga3 0.375 0.126 0.750
Ga4 0.875 0.124 0.750

Output
Space group: No. 122
Size of the total moment in μB/f.u.: 0.0
ΔE_f (raw) in meV/atom: 273

=====

No. 4
Computed, not measured: a relaxed structure of ScNi2MoPt at the GGA-PBE level of DFT.

a = 4.280 Å, b = 4.713 Å, c = 4.280 Å
α = 90.00°, β = 90.00°, γ = 90.00°
Positions (direct):
Sc1 0.000 0.000 0.000
Ni1 0.000 0.000 0.500
Ni2 0.500 0.000 0.000
Mo1 0.000 0.500 0.000
Pt1 0.500 0.500 0.500

Output
Space group: No. 123
Size of the total moment in μB/f.u.: 2.1
ΔE_f in eV/atom: 1.359

=====

No. 5
Computed, not measured: a relaxed structure of CeZrNb at the GGA-PBE level of DFT.

a = 3.500 Å, b = 3.500 Å, c = 5.932 Å
α = 107.16°, β = 107.16°, γ = 90.00°
Positions (direct):
Nb1 0.664 0.664 0.327
Zr1 0.326 0.326 0.651
Ce1 0.011 0.011 0.022

Output
Space group: No. 107
Size of the total moment in μB/f.u.: 0.0
ΔE_f in eV/atom: 0.180

=====

No. 6
Computed, not measured: a relaxed structure of Sc3TlTe at the GGA-PBE level of DFT.

a = 5.288 Å, b = 5.288 Å, c = 5.288 Å
α = 90.00°, β = 90.00°, γ = 90.00°
Positions (direct):
Sc1 0.000 0.500 0.000
Sc2 0.000 0.000 0.500
Sc3 0.500 0.000 0.000
Tl1 0.500 0.500 0.500
Te1 0.000 0.000 0.000

Output
Space group: No. 221
Size of the total moment in μB/f.u.: 0.0
ΔE_f (raw) in meV/atom: -46

=====

No. 7
Computed, not measured: a relaxed structure of GdHAu2 at the GGA-PBE level of DFT.

a = 3.080 Å, b = 3.080 Å, c = 8.726 Å
α = 79.84°, β = 79.84°, γ = 60.00°
Positions (direct):
H1 0.500 0.500 0.500
Gd1 0.000 0.000 0.000
Au1 0.114 0.114 0.659
Au2 0.886 0.886 0.341

Output
Space group: No. 166
Size of the total moment in μB/f.u.: 7.2

=====

No. 8
Computed, not measured: a relaxed structure of ScGa2Cu at the GGA-PBE level of DFT.

a = 4.104 Å, b = 4.104 Å, c = 5.284 Å
α = 67.15°, β = 67.15°, γ = 60.00°
Positions (direct):
Sc1 0.000 0.000 0.000
Cu1 0.500 0.500 0.500
Ga1 0.779 0.779 0.663
Ga2 0.221 0.221 0.337

Output
Space group: No. 166
Size of the total moment in μB/f.u.: 0.0
ΔE_f in eV/atom: -0.385

=====

| no. | energy (eV per atom) |
| --- | --- |
| 1 | -5.77 |
| 2 | -2.41 |
| 3 | -5.71 |
| 4 | -5.59 |
| 5 | -8.00 |
| 6 | -4.95 |
| 7 | -5.63 |
| 8 | -4.51 |